{"formula": "CrFe2TcMo", "functional": "GGA-PBE", "state": "relaxed", "mass_density_g_cm3": 7.13, "magmom_total_mub_per_atom": 1.0982, "n_ef_per_ev_fu": 7.9, "sg": "No. 123", "e_tot_ev_per_cell": -38.85, "lattice_angstrom": [[4.383, 0.000, 0.000], [0.000, 4.383, 0.000], [0.000, 0.000, 4.336]], "species": ["Cr", "Fe", "Fe", "Tc", "Mo"], "frac_coords": [[0.000, 0.000, 0.000], [0.000, 0.500, 0.500], [0.500, 0.000, 0.500], [0.500, 0.500, 0.000], [0.000, 0.000, 0.500]]}

{"formula": "VCrFeMo", "functional": "GGA-PBE", "state": "relaxed", "mass_density_g_cm3": 8.19, "magmom_total_mub_per_atom": 0.2453, "n_ef_per_ev_fu": 4.3, "sg": "No. 216", "e_tot_ev_per_cell": -151.97, "lattice_angstrom": [[5.912, 0.000, 0.000], [0.000, 5.912, 0.000], [0.000, 0.000, 5.912]], "species": ["V", "V", "V", "V", "Cr", "Cr", "Cr", "Cr", "Fe", "Fe", "Fe", "Fe", "Mo", "Mo", "Mo", "Mo"], "frac_coords": [[0.000, 0.000, 0.000], [0.000, 0.500, 0.500], [0.500, 0.000, 0.500], [0.500, 0.500, 0.000], [0.250, 0.250, 0.750], [0.250, 0.750, 0.250], [0.750, 0.250, 0.250], [0.750, 0.750, 0.750], [0.250, 0.250, 0.250], [0.250, 0.750, 0.750], [0.750, 0.250, 0.750], [0.750, 0.750, 0.250], [0.000, 0.000, 0.500], [0.000, 0.500, 0.000], [0.500, 0.000, 0.000], [0.500, 0.500, 0.500]]}

{"formula": "V5CrFe2Mo2", "functional": "GGA-PBE", "state": "relaxed", "mass_density_g_cm3": 7.57, "magmom_total_mub_per_atom": 0.0000, "n_ef_per_ev_fu": 9.5, "sg": "No. 127", "e_tot_ev_per_cell": -185.55, "lattice_angstrom": [[9.369, 0.000, 0.000], [0.000, 9.369, 0.000], [0.000, 0.000, 3.050]], "species": ["V", "V", "V", "V", "V", "V", "V", "V", "V", "V", "Cr", "Cr", "Fe", "Fe", "Fe", "Fe", "Mo", "Mo", "Mo", "Mo"], "frac_coords": [[0.000, 0.500, 0.000], [0.057, 0.199, 0.000], [0.199, 0.943, 0.000], [0.301, 0.443, 0.000], [0.443, 0.699, 0.000], [0.500, 0.000, 0.000], [0.557, 0.301, 0.000], [0.699, 0.557, 0.000], [0.801, 0.057, 0.000], [0.943, 0.801, 0.000], [0.000, 0.000, 0.500], [0.500, 0.500, 0.500], [0.131, 0.369, 0.500], [0.369, 0.869, 0.500], [0.631, 0.131, 0.500], [0.869, 0.631, 0.500], [0.175, 0.675, 0.500], [0.325, 0.175, 0.500], [0.675, 0.825, 0.500], [0.825, 0.325, 0.500]]}

{"formula": "ZrCrFe2Mo", "functional": "GGA-PBE", "state": "relaxed", "mass_density_g_cm3": 7.23, "magmom_total_mub_per_atom": 0.3997, "n_ef_per_ev_fu": 4.3, "sg": "No. 123", "e_tot_ev_per_cell": -42.39, "lattice_angstrom": [[4.228, 0.000, 0.000], [0.000, 4.228, 0.000], [0.000, 0.000, 4.506]], "species": ["Zr", "Cr", "Fe", "Fe", "Mo"], "frac_coords": [[0.000, 0.000, 0.000], [0.500, 0.500, 0.500], [0.000, 0.500, 0.500], [0.500, 0.000, 0.500], [0.500, 0.500, 0.000]]}